BaMnPt2C: relaxed, PBE.

Lattice parameters (Å, degrees): 4.977 3.845 4.977 90.00 90.00 90.00
Fractional positions:
Mn (0.000, 0.000, 0.000)
C (0.000, 0.500, 0.000)
Pt (0.500, 0.000, 0.000)
Ba (0.500, 0.500, 0.500)
Pt (0.000, 0.000, 0.500)

Crystal system: tetragonal
Total magnetization in μB per atom: 0.0000
Formation energy from the elements in eV per atom: 0.528
Final energy in eV/atom: -5.9517